Entry 1:
MgHgPb2 (GGA-PBEsol, relaxed); space-group type = Imm2; ΔE_f = -0.2 eV/f.u.; E = -2.632 eV/atom
1.0
-3.505 -0.088 0.801
1.069 -3.008 4.343
1.775 5.966 0.350
Pb Hg Mg
2 1 1
Cartesian
-0.678 2.742 5.411 Pb
-1.459 2.286 1.942 Pb
-1.197 -1.378 2.685 Hg
0.792 0.541 3.524 Mg


Entry 2:
Mg2HgPb (GGA-PBEsol, relaxed); space-group type = P2/m; ΔE_f = -0.8 eV/f.u.; excess energy over the best structure of this formula in the dataset = 0.000 eV/f.u.; E = -2.194 eV/atom
1.0
-2.063 -1.039 2.643
-1.616 -2.254 -2.148
4.928 -5.224 1.775
Hg Pb Mg
1 1 2
Cartesian
0.625 -4.259 1.135 Hg
-1.839 -1.647 0.247 Pb
-0.679 -2.503 3.138 Mg
3.545 -3.760 1.279 Mg


Q: The lowest ΔE_f belongs to which entry?
A: Mg2HgPb